# 1
The following is a DFT calculation (PBE-GGA) of crystalline La2Sn3BiPt4 at its relaxed geometry.

Density of states at the Fermi level in states/eV per cell: 6.4
Total DFT energy (no corrections) in eV per atom: -5.8179

Geometry as CIF:
```
data_La2Sn3BiPt4
_chemical_formula_sum 'La2 Sn3 Bi1 Pt4'
_cell_length_a 4.7145
_cell_length_b 4.7145
_cell_length_c 10.7338
_cell_angle_alpha 90.00
_cell_angle_beta 90.00
_cell_angle_gamma 90.00
_space_group_name_H-M_alt 'P -4 m 2'
_space_group_IT_number 115
loop_
_space_group_symop_operation_xyz
'x,y,z'
'y,-x,-z'
'-x,-y,z'
'-y,x,-z'
'-x,y,z'
'-y,-x,-z'
'x,-y,z'
'y,x,-z'
loop_
_atom_site_label
_atom_site_type_symbol
_atom_site_fract_x
_atom_site_fract_y
_atom_site_fract_z
La1 La 0.0000 0.5000 0.2306
Sn1 Sn 0.0000 0.5000 0.8771
Sn2 Sn 0.5000 0.5000 0.5000
Bi1 Bi 0.0000 0.0000 0.5000
Pt1 Pt 0.0000 0.0000 0.0000
Pt2 Pt 0.0000 0.5000 0.6348
Pt3 Pt 0.5000 0.5000 0.0000
```

# 2
The following is a DFT calculation (PBE-GGA) of crystalline LaBiTe2Pt at its relaxed geometry.

Density of states at the Fermi level in states/eV per cell: 3.4
Uncorrected formation energy in eV/atom: -0.400

Geometry as CIF:
```
data_LaBiTe2Pt
_chemical_formula_sum 'La1 Bi1 Te2 Pt1'
_cell_length_a 5.4118
_cell_length_b 5.4118
_cell_length_c 5.3383
_cell_angle_alpha 90.00
_cell_angle_beta 90.00
_cell_angle_gamma 90.00
_space_group_name_H-M_alt 'P 4/m m m'
_space_group_IT_number 123
_space_group_name_Hall '-P 4 2'
loop_
_atom_site_label
_atom_site_type_symbol
_atom_site_fract_x
_atom_site_fract_y
_atom_site_fract_z
La1 La 0.0000 0.0000 0.0000
Bi1 Bi 0.5000 0.5000 0.0000
Te1 Te 0.0000 0.5000 0.5000
Pt1 Pt 0.5000 0.5000 0.5000
```

# 3
The following is a DFT calculation (PBE-GGA) of crystalline La2ZrBiPt at its relaxed geometry.

Density of states at the Fermi level in states/eV per cell: 7.2
Total DFT energy (no corrections) in eV per atom: -5.0872

Geometry as CIF:
```
data_La2ZrBiPt
_chemical_formula_sum 'La2 Zr1 Bi1 Pt1'
_cell_length_a 6.0930
_cell_length_b 6.0930
_cell_length_c 5.0413
_cell_angle_alpha 90.00
_cell_angle_beta 90.00
_cell_angle_gamma 90.00
_space_group_name_H-M_alt 'P 4/m m m'
_space_group_IT_number 123
_space_group_name_Hall '-P 4 2'
loop_
_atom_site_label
_atom_site_type_symbol
_atom_site_fract_x
_atom_site_fract_y
_atom_site_fract_z
La1 La 0.0000 0.5000 0.0000
Zr1 Zr 0.0000 0.0000 0.5000
Bi1 Bi 0.5000 0.5000 0.0000
Pt1 Pt 0.5000 0.5000 0.5000
```

What did the first record say?
The following is a DFT calculation (PBE-GGA) of crystalline La2Sn3BiPt4 at its relaxed geometry.

Density of states at the Fermi level in states/eV per cell: 6.4
Total DFT energy (no corrections) in eV per atom: -5.8179

Geometry as CIF:
```
data_La2Sn3BiPt4
_chemical_formula_sum 'La2 Sn3 Bi1 Pt4'
_cell_length_a 4.7145
_cell_length_b 4.7145
_cell_length_c 10.7338
_cell_angle_alpha 90.00
_cell_angle_beta 90.00
_cell_angle_gamma 90.00
_space_group_name_H-M_alt 'P -4 m 2'
_space_group_IT_number 115
loop_
_space_group_symop_operation_xyz
'x,y,z'
'y,-x,-z'
'-x,-y,z'
'-y,x,-z'
'-x,y,z'
'-y,-x,-z'
'x,-y,z'
'y,x,-z'
loop_
_atom_site_label
_atom_site_type_symbol
_atom_site_fract_x
_atom_site_fract_y
_atom_site_fract_z
La1 La 0.0000 0.5000 0.2306
Sn1 Sn 0.0000 0.5000 0.8771
Sn2 Sn 0.5000 0.5000 0.5000
Bi1 Bi 0.0000 0.0000 0.5000
Pt1 Pt 0.0000 0.0000 0.0000
Pt2 Pt 0.0000 0.5000 0.6348
Pt3 Pt 0.5000 0.5000 0.0000
```

Repeat the first record exactly.
The following is a DFT calculation (PBE-GGA) of crystalline La2Sn3BiPt4 at its relaxed geometry.

Density of states at the Fermi level in states/eV per cell: 6.4
Total DFT energy (no corrections) in eV per atom: -5.8179

Geometry as CIF:
```
data_La2Sn3BiPt4
_chemical_formula_sum 'La2 Sn3 Bi1 Pt4'
_cell_length_a 4.7145
_cell_length_b 4.7145
_cell_length_c 10.7338
_cell_angle_alpha 90.00
_cell_angle_beta 90.00
_cell_angle_gamma 90.00
_space_group_name_H-M_alt 'P -4 m 2'
_space_group_IT_number 115
loop_
_space_group_symop_operation_xyz
'x,y,z'
'y,-x,-z'
'-x,-y,z'
'-y,x,-z'
'-x,y,z'
'-y,-x,-z'
'x,-y,z'
'y,x,-z'
loop_
_atom_site_label
_atom_site_type_symbol
_atom_site_fract_x
_atom_site_fract_y
_atom_site_fract_z
La1 La 0.0000 0.5000 0.2306
Sn1 Sn 0.0000 0.5000 0.8771
Sn2 Sn 0.5000 0.5000 0.5000
Bi1 Bi 0.0000 0.0000 0.5000
Pt1 Pt 0.0000 0.0000 0.0000
Pt2 Pt 0.0000 0.5000 0.6348
Pt3 Pt 0.5000 0.5000 0.0000
```

Repeat the first record exactly.
The following is a DFT calculation (PBE-GGA) of crystalline La2Sn3BiPt4 at its relaxed geometry.

Density of states at the Fermi level in states/eV per cell: 6.4
Total DFT energy (no corrections) in eV per atom: -5.8179

Geometry as CIF:
```
data_La2Sn3BiPt4
_chemical_formula_sum 'La2 Sn3 Bi1 Pt4'
_cell_length_a 4.7145
_cell_length_b 4.7145
_cell_length_c 10.7338
_cell_angle_alpha 90.00
_cell_angle_beta 90.00
_cell_angle_gamma 90.00
_space_group_name_H-M_alt 'P -4 m 2'
_space_group_IT_number 115
loop_
_space_group_symop_operation_xyz
'x,y,z'
'y,-x,-z'
'-x,-y,z'
'-y,x,-z'
'-x,y,z'
'-y,-x,-z'
'x,-y,z'
'y,x,-z'
loop_
_atom_site_label
_atom_site_type_symbol
_atom_site_fract_x
_atom_site_fract_y
_atom_site_fract_z
La1 La 0.0000 0.5000 0.2306
Sn1 Sn 0.0000 0.5000 0.8771
Sn2 Sn 0.5000 0.5000 0.5000
Bi1 Bi 0.0000 0.0000 0.5000
Pt1 Pt 0.0000 0.0000 0.0000
Pt2 Pt 0.0000 0.5000 0.6348
Pt3 Pt 0.5000 0.5000 0.0000
```

Please write out number 2 again, unchanged.
The following is a DFT calculation (PBE-GGA) of crystalline LaBiTe2Pt at its relaxed geometry.

Density of states at the Fermi level in states/eV per cell: 3.4
Uncorrected formation energy in eV/atom: -0.400

Geometry as CIF:
```
data_LaBiTe2Pt
_chemical_formula_sum 'La1 Bi1 Te2 Pt1'
_cell_length_a 5.4118
_cell_length_b 5.4118
_cell_length_c 5.3383
_cell_angle_alpha 90.00
_cell_angle_beta 90.00
_cell_angle_gamma 90.00
_space_group_name_H-M_alt 'P 4/m m m'
_space_group_IT_number 123
_space_group_name_Hall '-P 4 2'
loop_
_atom_site_label
_atom_site_type_symbol
_atom_site_fract_x
_atom_site_fract_y
_atom_site_fract_z
La1 La 0.0000 0.0000 0.0000
Bi1 Bi 0.5000 0.5000 0.0000
Te1 Te 0.0000 0.5000 0.5000
Pt1 Pt 0.5000 0.5000 0.5000
```